Record 1
LaY2Br: relaxed, PBE.

Geometry as POSCAR:
```
LaY2Br
1.0
3.587 0.000 0.000
0.000 3.587 0.000
0.000 0.000 9.707
Y Br La
2 1 1
Direct
0.000 0.000 0.013 Y
0.500 0.500 0.264 Y
0.000 0.000 0.491 Br
0.500 0.500 0.732 La
```

SG ... P4mm, No. 99
Density of states at the Fermi level ... 4.11 states/eV/f.u.
Raw formation energy ... -0.465 eV/atom
Energy above the lowest structure with this stoichiometry ... 34 kJ/mol of formula units

---

Record 2
LaYBr: relaxed, PBE.

Geometry as POSCAR:
```
LaYBr
1.0
-1.398 2.010 -7.150
-2.271 -2.993 -6.558
-0.596 0.989 7.469
Y Br La
1 1 1
Direct
0.656 0.656 0.000 Y
0.007 0.007 0.000 Br
0.337 0.337 0.000 La
```

SG ... I4mm, No. 107
Density of states at the Fermi level ... 4.27 states/eV/f.u.
Raw formation energy ... -0.629 eV/atom
Energy above the lowest structure with this stoichiometry ... 39 kJ/mol of formula units

---

Record 3
La2YBr: relaxed, PBE.

Geometry as POSCAR:
```
La2YBr
1.0
6.446 0.001 0.000
2.862 5.776 0.000
-4.654 -2.888 3.398
Y Br La
1 1 2
Direct
0.500 0.500 0.000 Y
0.750 0.250 0.500 Br
0.000 0.000 0.000 La
0.250 0.750 0.500 La
```

SG ... I-4m2, No. 119
Density of states at the Fermi level ... 6.69 states/eV/f.u.
Raw formation energy ... -0.152 eV/atom
Energy above the lowest structure with this stoichiometry ... 166 kJ/mol of formula units

---

Record 4
La2YBr: relaxed, PBE.

Geometry as POSCAR:
```
La2YBr
1.0
5.945 0.000 0.000
0.000 3.679 -0.083
0.000 0.740 5.851
Y Br La
1 1 2
Direct
0.500 0.250 0.250 Y
0.500 0.750 0.750 Br
0.000 0.914 0.010 La
0.000 0.586 0.490 La
```

SG ... P2/m, No. 10
Density of states at the Fermi level ... 4.83 states/eV/f.u.
Raw formation energy ... -0.272 eV/atom
Energy above the lowest structure with this stoichiometry ... 120 kJ/mol of formula units

---

What is the raw formation energy in the first record? -0.465 eV/atom